# 1
Computed, not measured: crystalline ScBeSiAg2 at its relaxed geometry at the GGA-PBE level of DFT.

Computed properties:
Raw formation energy = 59.17 kJ/mol of atoms
V = 22.342 Å³ per atom

Structure (CIF):
```
data_ScBeSiAg2
_chemical_formula_sum 'Sc1 Be1 Si1 Ag2'
_symmetry_space_group_name_H-M 'P 1'
_symmetry_Int_Tables_number 1
_cell_length_a 4.708
_cell_length_b 5.039
_cell_length_c 4.708
_cell_angle_alpha 90.00
_cell_angle_beta 90.00
_cell_angle_gamma 90.00
loop_
_symmetry_equiv_pos_as_xyz
'x,y,z'
loop_
_atom_site_label
_atom_site_type_symbol
_atom_site_fract_x
_atom_site_fract_y
_atom_site_fract_z
Sc1 Sc 0.000 0.500 0.000
Be1 Be 0.500 0.500 0.500
Si1 Si 0.000 0.000 0.000
Ag1 Ag 0.000 0.000 0.500
Ag2 Ag 0.500 0.000 0.000
```


# 2
Computed, not measured: crystalline Be2TcSb at its relaxed geometry at the GGA-PBE level of DFT.

Computed properties:
Raw formation energy = 53.95 kJ/mol of atoms
V = 15.056 Å³ per atom

Structure (CIF):
```
data_Be2TcSb
_chemical_formula_sum 'Be2 Tc1 Sb1'
_symmetry_space_group_name_H-M 'P 1'
_symmetry_Int_Tables_number 1
_cell_length_a 7.710
_cell_length_b 7.710
_cell_length_c 7.710
_cell_angle_alpha 22.77
_cell_angle_beta 22.77
_cell_angle_gamma 22.77
loop_
_symmetry_equiv_pos_as_xyz
'x,y,z'
loop_
_atom_site_label
_atom_site_type_symbol
_atom_site_fract_x
_atom_site_fract_y
_atom_site_fract_z
Sb1 Sb 0.250 0.250 0.250
Tc1 Tc 0.750 0.750 0.750
Be1 Be 0.011 0.011 0.011
Be2 Be 0.489 0.489 0.489
```


# 3
Computed, not measured: crystalline LaHoEr2Hg4 at its relaxed geometry at the GGA-PBE level of DFT.

Computed properties:
Energy of formation = -0.468 eV/atom
V = 26.512 Å³ per atom

Structure (CIF):
```
data_LaHoEr2Hg4
_chemical_formula_sum 'La1 Ho1 Er2 Hg4'
_symmetry_space_group_name_H-M 'P 1'
_symmetry_Int_Tables_number 1
_cell_length_a 5.284
_cell_length_b 5.284
_cell_length_c 9.288
_cell_angle_alpha 73.48
_cell_angle_beta 73.48
_cell_angle_gamma 60.00
loop_
_symmetry_equiv_pos_as_xyz
'x,y,z'
loop_
_atom_site_label
_atom_site_type_symbol
_atom_site_fract_x
_atom_site_fract_y
_atom_site_fract_z
La1 La 0.000 0.000 0.000
Ho1 Ho 0.500 0.500 0.500
Er1 Er 0.752 0.752 0.745
Er2 Er 0.248 0.248 0.255
Hg1 Hg 0.380 0.380 0.859
Hg2 Hg 0.872 0.872 0.383
Hg3 Hg 0.128 0.128 0.617
Hg4 Hg 0.620 0.620 0.141
```


# 4
Computed, not measured: crystalline LaNi5 at its relaxed geometry at the GGA-PBE level of DFT.

Computed properties:
Energy of formation = -0.097 eV/atom
V = 15.021 Å³ per atom

Structure (CIF):
```
data_LaNi5
_chemical_formula_sum 'La1 Ni5'
_symmetry_space_group_name_H-M 'P 1'
_symmetry_Int_Tables_number 1
_cell_length_a 4.019
_cell_length_b 4.018
_cell_length_c 6.445
_cell_angle_alpha 90.01
_cell_angle_beta 90.01
_cell_angle_gamma 60.00
loop_
_symmetry_equiv_pos_as_xyz
'x,y,z'
loop_
_atom_site_label
_atom_site_type_symbol
_atom_site_fract_x
_atom_site_fract_y
_atom_site_fract_z
La1 La 0.000 0.000 0.000
Ni1 Ni 0.334 0.334 0.317
Ni2 Ni 0.666 0.666 0.683
Ni3 Ni 0.667 0.667 0.316
Ni4 Ni 0.000 0.000 0.500
Ni5 Ni 0.333 0.333 0.684
```


# 5
Computed, not measured: crystalline Ba2Tl4In3Hg at its relaxed geometry at the GGA-PBE level of DFT.

Computed properties:
Energy of formation = -0.277 eV/atom
V = 32.897 Å³ per atom

Structure (CIF):
```
data_Ba2Tl4In3Hg
_chemical_formula_sum 'Ba2 Tl4 In3 Hg1'
_symmetry_space_group_name_H-M 'P 1'
_symmetry_Int_Tables_number 1
_cell_length_a 5.166
_cell_length_b 5.166
_cell_length_c 12.326
_cell_angle_alpha 90.00
_cell_angle_beta 90.00
_cell_angle_gamma 90.00
loop_
_symmetry_equiv_pos_as_xyz
'x,y,z'
loop_
_atom_site_label
_atom_site_type_symbol
_atom_site_fract_x
_atom_site_fract_y
_atom_site_fract_z
Ba1 Ba 0.500 0.000 0.253
Ba2 Ba 0.000 0.500 0.747
Tl1 Tl 0.500 0.500 0.000
Tl2 Tl 0.000 0.000 0.000
Tl3 Tl 0.500 0.000 0.631
Tl4 Tl 0.000 0.500 0.369
In1 In 0.000 0.000 0.500
In2 In 0.500 0.000 0.867
In3 In 0.000 0.500 0.133
Hg1 Hg 0.500 0.500 0.500
```


# 6
Computed, not measured: crystalline BaHgTe2N at its relaxed geometry at the GGA-PBE level of DFT.

Computed properties:
Raw formation energy = 87.92 kJ/mol of atoms
Energy above the most stable polymorph in this dataset = 719.1 meV/atom
V = 41.869 Å³ per atom

Structure (CIF):
```
data_BaHgTe2N
_chemical_formula_sum 'Ba1 Hg1 Te2 N1'
_symmetry_space_group_name_H-M 'P 1'
_symmetry_Int_Tables_number 1
_cell_length_a 6.836
_cell_length_b 6.836
_cell_length_c 4.480
_cell_angle_alpha 90.00
_cell_angle_beta 90.00
_cell_angle_gamma 90.00
loop_
_symmetry_equiv_pos_as_xyz
'x,y,z'
loop_
_atom_site_label
_atom_site_type_symbol
_atom_site_fract_x
_atom_site_fract_y
_atom_site_fract_z
N1 N 0.000 0.000 0.500
Te1 Te 0.000 0.500 0.000
Te2 Te 0.500 0.000 0.000
Hg1 Hg 0.500 0.500 0.500
Ba1 Ba 0.000 0.000 0.000
```


# 7
Computed, not measured: crystalline Sr4BiTe2Cl at its relaxed geometry at the GGA-PBE level of DFT.

Computed properties:
Raw formation energy = -154.27 kJ/mol of atoms
V = 37.311 Å³ per atom

Structure (CIF):
```
data_Sr4BiTe2Cl
_chemical_formula_sum 'Sr4 Bi1 Te2 Cl1'
_symmetry_space_group_name_H-M 'P 1'
_symmetry_Int_Tables_number 1
_cell_length_a 6.668
_cell_length_b 6.668
_cell_length_c 8.205
_cell_angle_alpha 113.99
_cell_angle_beta 113.99
_cell_angle_gamma 89.97
loop_
_symmetry_equiv_pos_as_xyz
'x,y,z'
loop_
_atom_site_label
_atom_site_type_symbol
_atom_site_fract_x
_atom_site_fract_y
_atom_site_fract_z
Sr1 Sr 0.939 0.437 0.000
Sr2 Sr 0.437 0.939 0.000
Sr3 Sr 0.183 0.183 0.492
Sr4 Sr 0.691 0.691 0.508
Bi1 Bi 0.937 0.937 0.000
Te1 Te 0.187 0.687 0.500
Te2 Te 0.687 0.187 0.500
Cl1 Cl 0.436 0.436 0.000
```


# 8
Computed, not measured: crystalline LaPrHo3Tm at its relaxed geometry at the GGA-PBE level of DFT.

Computed properties:
Energy of formation = 0.107 eV/atom
V = 33.014 Å³ per atom

Structure (CIF):
```
data_LaPrHo3Tm
_chemical_formula_sum 'La2 Pr2 Ho6 Tm2'
_symmetry_space_group_name_H-M 'P 1'
_symmetry_Int_Tables_number 1
_cell_length_a 5.875
_cell_length_b 6.447
_cell_length_c 11.752
_cell_angle_alpha 90.00
_cell_angle_beta 90.00
_cell_angle_gamma 117.11
loop_
_symmetry_equiv_pos_as_xyz
'x,y,z'
loop_
_atom_site_label
_atom_site_type_symbol
_atom_site_fract_x
_atom_site_fract_y
_atom_site_fract_z
La1 La 0.497 0.993 0.750
La2 La 0.503 0.007 0.250
Pr1 Pr 0.000 0.000 0.500
Pr2 Pr 0.000 0.000 0.000
Ho1 Ho 0.676 0.351 0.503
Ho2 Ho 0.324 0.649 0.497
Ho3 Ho 0.324 0.649 0.003
Ho4 Ho 0.676 0.351 0.997
Ho5 Ho 0.175 0.350 0.750
Ho6 Ho 0.825 0.650 0.250
Tm1 Tm 0.828 0.657 0.750
Tm2 Tm 0.172 0.343 0.250
```


# 9
Computed, not measured: crystalline Li3SiMo at its relaxed geometry at the GGA-PBE level of DFT.

Computed properties:
Raw formation energy = 101.69 kJ/mol of atoms
Energy above the most stable polymorph in this dataset = 0.0 meV/atom
V = 16.071 Å³ per atom

Structure (CIF):
```
data_Li3SiMo
_chemical_formula_sum 'Li3 Si1 Mo1'
_symmetry_space_group_name_H-M 'P 1'
_symmetry_Int_Tables_number 1
_cell_length_a 4.315
_cell_length_b 4.315
_cell_length_c 4.315
_cell_angle_alpha 90.00
_cell_angle_beta 90.00
_cell_angle_gamma 90.00
loop_
_symmetry_equiv_pos_as_xyz
'x,y,z'
loop_
_atom_site_label
_atom_site_type_symbol
_atom_site_fract_x
_atom_site_fract_y
_atom_site_fract_z
Mo1 Mo 0.500 0.500 0.500
Si1 Si 0.000 0.000 0.000
Li1 Li 0.000 0.500 0.000
Li2 Li 0.000 0.000 0.500
Li3 Li 0.500 0.000 0.000
```


# 10
Computed, not measured: crystalline Ca2RuPbO6 at its relaxed geometry at the GGA-PBE level of DFT.

Computed properties:
Raw formation energy = -159.40 kJ/mol of atoms
V = 16.616 Å³ per atom

Structure (CIF):
```
data_Ca2RuPbO6
_chemical_formula_sum 'Ca2 Ru1 Pb1 O6'
_symmetry_space_group_name_H-M 'P 1'
_symmetry_Int_Tables_number 1
_cell_length_a 5.264
_cell_length_b 5.618
_cell_length_c 5.618
_cell_angle_alpha 90.00
_cell_angle_beta 90.00
_cell_angle_gamma 90.00
loop_
_symmetry_equiv_pos_as_xyz
'x,y,z'
loop_
_atom_site_label
_atom_site_type_symbol
_atom_site_fract_x
_atom_site_fract_y
_atom_site_fract_z
Ca1 Ca 0.969 0.500 0.000
Ca2 Ca 0.969 0.000 0.500
Ru1 Ru 0.601 0.500 0.500
Pb1 Pb 0.552 0.000 0.000
O1 O 0.736 0.274 0.274
O2 O 0.736 0.274 0.726
O3 O 0.267 0.500 0.500
O4 O 0.143 0.000 0.000
O5 O 0.736 0.726 0.726
O6 O 0.736 0.726 0.274
```


# 11
Computed, not measured: crystalline Sm2Dy5Tm3 at its relaxed geometry at the GGA-PBE level of DFT.

Computed properties:
Energy above the most stable polymorph in this dataset = 0.0 meV/atom
Energy of formation = 0.215 eV/atom
V = 32.986 Å³ per atom

Structure (CIF):
```
data_Sm2Dy5Tm3
_chemical_formula_sum 'Sm4 Dy10 Tm6'
_symmetry_space_group_name_H-M 'P 1'
_symmetry_Int_Tables_number 1
_cell_length_a 10.481
_cell_length_b 9.679
_cell_length_c 11.128
_cell_angle_alpha 129.35
_cell_angle_beta 130.91
_cell_angle_gamma 64.99
loop_
_symmetry_equiv_pos_as_xyz
'x,y,z'
loop_
_atom_site_label
_atom_site_type_symbol
_atom_site_fract_x
_atom_site_fract_y
_atom_site_fract_z
Sm1 Sm 0.793 0.004 0.750
Sm2 Sm 0.207 0.996 0.250
Sm3 Sm 0.457 0.747 0.750
Sm4 Sm 0.543 0.253 0.250
Dy1 Dy 0.250 0.500 0.999
Dy2 Dy 0.750 0.500 0.001
Dy3 Dy 0.002 0.752 0.504
Dy4 Dy 0.535 0.285 0.570
Dy5 Dy 0.998 0.248 0.496
Dy6 Dy 0.465 0.715 0.430
Dy7 Dy 0.828 0.600 0.743
Dy8 Dy 0.172 0.400 0.257
Dy9 Dy 0.415 0.143 0.743
Dy10 Dy 0.585 0.857 0.257
Tm1 Tm 0.228 0.978 0.955
Tm2 Tm 0.772 0.022 0.045
Tm3 Tm 0.702 0.465 0.243
Tm4 Tm 0.298 0.535 0.757
Tm5 Tm 0.041 0.779 0.243
Tm6 Tm 0.959 0.221 0.757
```